Compound: TlSn5Te6
Source: Alexandria via LeMat-Bulk
Functional: PBE
Structure: relaxed

Summary:
- Density of states at the Fermi level: 0.48 states/eV/atom
- Total DFT energy (no corrections): -3.717 eV per atom
- Magnetic moment: 0.000 μB/f.u.

Lattice parameters (Å, degrees): 7.8676 7.8676 7.8097 99.65 99.65 119.84
Closest atoms and distances in Å follow each position.
Fractional coordinates of all 12 atoms:
Tl: 0.0000 0.0000 0.0000  6 Te 3.29-3.31
Sn: 0.1676 0.8324 0.5000  6 Te 3.09-3.25
Sn: 0.3353 0.6647 0.0000  6 Te 3.16-3.22
Sn: 0.5000 0.5000 0.5000  6 Te 3.12-3.21
Sn: 0.6647 0.3353 0.0000  6 Te 3.16-3.22
Sn: 0.8324 0.1676 0.5000  6 Te 3.09-3.25
Te: 0.0863 0.4304 0.2574  5 Sn 3.09-3.22, 1 Tl 3.31
Te: 0.2611 0.2611 0.7484  5 Sn 3.12-3.25, 1 Tl 3.29
Te: 0.4304 0.0863 0.2574  5 Sn 3.09-3.22, 1 Tl 3.31
Te: 0.5696 0.9137 0.7426  5 Sn 3.09-3.22, 1 Tl 3.31
Te: 0.7389 0.7389 0.2516  5 Sn 3.12-3.25, 1 Tl 3.29
Te: 0.9137 0.5696 0.7426  5 Sn 3.09-3.22, 1 Tl 3.31

***

Compound: YMgSi
Source: Alexandria via LeMat-Bulk
Functional: PBE
Structure: relaxed

Summary:
- Density of states at the Fermi level: 0.49 states/eV/atom
- Total DFT energy (no corrections): -4.893 eV per atom
- Magnetic moment: 0.000 μB/f.u.

Lattice parameters (Å, degrees): 4.6587 4.6587 4.6587 60.00 60.00 60.00
Closest atoms and distances in Å follow each position.
Fractional coordinates of all 3 atoms:
Y: 0.0000 0.0000 0.0000  4 Si 2.85
Mg: 0.5000 0.5000 0.5000  4 Si 2.85
Si: 0.7500 0.7500 0.7500  4 Mg 2.85, 4 Y 2.85

***

Compound: BaBe3Ag
Source: Alexandria via LeMat-Bulk
Functional: PBE
Structure: relaxed

Summary:
- Density of states at the Fermi level: 0.94 states/eV/atom
- Polymorph energy (0 for the lowest one): 0 meV/atom
- Total DFT energy (no corrections): -2.690 eV per atom
- DFT formation energy: 0.501 eV/atom
- Magnetic moment: 0.000 μB/f.u.

Lattice parameters (Å, degrees): 4.6050 4.6050 4.6050 90.00 90.00 90.00
Closest atoms and distances in Å follow each position.
Fractional coordinates of all 5 atoms:
Ba: 0.0000 0.0000 0.0000  12 Be 3.26
Be: 0.0000 0.5000 0.5000  2 Ag 2.30
Be: 0.5000 0.0000 0.5000  2 Ag 2.30
Be: 0.5000 0.5000 0.0000  2 Ag 2.30
Ag: 0.5000 0.5000 0.5000  6 Be 2.30

***

> What is the magnetic moment in the first record?

0.000 μB/f.u.

***

> Which of these has the highest density of states at the Fermi level?

BaBe3Ag

***

Repeat the second record exactly.
Compound: YMgSi
Source: Alexandria via LeMat-Bulk
Functional: PBE
Structure: relaxed

Summary:
- Density of states at the Fermi level: 0.49 states/eV/atom
- Total DFT energy (no corrections): -4.893 eV per atom
- Magnetic moment: 0.000 μB/f.u.

Lattice parameters (Å, degrees): 4.6587 4.6587 4.6587 60.00 60.00 60.00
Closest atoms and distances in Å follow each position.
Fractional coordinates of all 3 atoms:
Y: 0.0000 0.0000 0.0000  4 Si 2.85
Mg: 0.5000 0.5000 0.5000  4 Si 2.85
Si: 0.7500 0.7500 0.7500  4 Mg 2.85, 4 Y 2.85